[1]
# MnTl2As

An optimized crystal structure of MnTl2As (GGA-PBEsol, the Alexandria database).

Results
symmetry: Imm2 (44)
mass density: 10.2 g/cm3
energy relative to the elements: 261 meV/atom

Cell lengths 3.214, 4.867, 6.308 Å; angles 112.69, 104.76, 90.00 degrees
Site moments in Bohr magnetons follow the coordinates.
Atoms (fractional coordinates):
1 Tl 0.960 0.960 0.921  0.01
2 Tl 0.758 0.258 0.517  -0.03
3 As 0.560 0.560 0.121  -0.09
4 Mn 0.221 0.721 0.442  3.23

[2]
# Ba3Hg

An optimized crystal structure of Ba3Hg (GGA-PBEsol, the Alexandria database).

Results
symmetry: Immm (71)
mass density: 5.7 g/cm3
energy relative to the elements: -241 meV/atom

Cell lengths 4.237, 6.277, 7.756 Å; angles 113.87, 105.85, 90.00 degrees
Atoms (fractional coordinates):
1 Ba 0.500 0.083 0.000
2 Ba 0.303 0.386 0.606
3 Ba 0.697 0.780 0.394
4 Hg 0.000 0.583 0.000

[3]
# Sc2CdAg

An optimized crystal structure of Sc2CdAg (GGA-PBEsol, the Alexandria database).

Results
symmetry: Pmm2 (25)
mass density: 6.4 g/cm3
energy relative to the elements: -303 meV/atom

Cell lengths 3.403, 4.843, 4.886 Å; angles 90.00, 90.00, 90.00 degrees
Atoms (fractional coordinates):
1 Ag 0.500 0.000 0.596
2 Cd 0.500 0.500 0.152
3 Sc 0.000 0.500 0.641
4 Sc 0.000 0.000 0.111